# 1
Density functional theory data (PBE) for an optimized crystal structure of TaNbNiPd.

Space-group type: P4mm, No. 99

abc: 3.2309 3.2309 6.0546
angles: 90.00 90.00 90.00
Positions (direct):
Nb 0.5000 0.5000 0.1196
Ni 0.5000 0.5000 0.6188
Ta 0.0000 0.0000 0.8207
Pd 0.0000 0.0000 0.3688

# 2
Density functional theory data (PBE) for an optimized crystal structure of TaNbNi2Pd.

Space-group type: P4/mmm, No. 123

abc: 4.4838 4.8642 4.4838
angles: 90.00 90.00 90.00
Positions (direct):
Nb 0.0000 0.0000 0.0000
Ni 0.0000 0.0000 0.5000
Ni 0.5000 0.0000 0.0000
Ta 0.0000 0.5000 0.0000
Pd 0.5000 0.5000 0.5000

# 3
Density functional theory data (PBE) for an optimized crystal structure of NbNiPdW2.

Space-group type: P4/mmm, No. 123

abc: 4.7196 4.8292 4.7196
angles: 90.00 90.00 90.00
Each line ends with the local moment (μB).
Positions (direct):
W 0.0000 0.0000 0.5000  -0.03
W 0.5000 0.0000 0.0000  -0.02
Nb 0.0000 0.0000 0.0000  0.01
Pd 0.0000 0.5000 0.0000  0.00
Ni 0.5000 0.5000 0.5000  0.19

# 4
Density functional theory data (PBE) for an optimized crystal structure of Pm2NbNi.

Space-group type: R-3m, No. 166

abc: 3.3218 3.3218 10.2357
angles: 80.66 80.66 60.00
Each line ends with the local moment (μB).
Positions (direct):
Pm 0.0996 0.0996 0.7013  0.04
Pm 0.9004 0.9004 0.2987  0.04
Nb 0.0000 0.0000 0.0000  0.65
Ni 0.5000 0.5000 0.5000  0.04

Formation energy from the elements: -255, 1428, 2185, 589 (meV/atom)